# LaC PBE-GGA optimized geometry
# Calculated formation energy = 0.19 eV/atom
# V = 80 Å³ per cell
# Density of states at the Fermi level = 2.5 states/eV/cell
# Space group = P2_1/m, No. 11
data_LaC
_chemical_formula_sum 'La2 C2'
_cell_length_a 3.5967
_cell_length_b 3.0804
_cell_length_c 7.4257
_cell_angle_alpha 90.00
_cell_angle_beta 103.88
_cell_angle_gamma 90.00
_symmetry_space_group_name_H-M 'P 1'
_symmetry_Int_Tables_number 1
_symmetry_space_group_name_Hall 'P 1'
loop_
_atom_site_label
_atom_site_type_symbol
_atom_site_fract_x
_atom_site_fract_y
_atom_site_fract_z
La1 La 0.1104 0.2500 0.2231
La2 La 0.8896 0.7500 0.7769
C1 C 0.4739 0.2500 0.9471
C2 C 0.5261 0.7500 0.0529

***

# LaC PBE-GGA optimized geometry
# Calculated formation energy = 0.59 eV/atom
# V = 350 Å³ per cell
# Density of states at the Fermi level = 13.5 states/eV/cell
# Space group = Pm-3n, No. 223
data_LaC
_chemical_formula_sum 'La6 C6'
_cell_length_a 7.0467
_cell_length_b 7.0467
_cell_length_c 7.0467
_cell_angle_alpha 90.00
_cell_angle_beta 90.00
_cell_angle_gamma 90.00
_symmetry_space_group_name_H-M 'P 1'
_symmetry_Int_Tables_number 1
_symmetry_space_group_name_Hall 'P 1'
loop_
_atom_site_label
_atom_site_type_symbol
_atom_site_fract_x
_atom_site_fract_y
_atom_site_fract_z
La1 La 0.0000 0.2500 0.5000
La2 La 0.0000 0.7500 0.5000
La3 La 0.2500 0.5000 0.0000
La4 La 0.5000 0.0000 0.2500
La5 La 0.5000 0.0000 0.7500
La6 La 0.7500 0.5000 0.0000
C1 C 0.0000 0.5000 0.2500
C2 C 0.0000 0.5000 0.7500
C3 C 0.2500 0.0000 0.5000
C4 C 0.5000 0.2500 0.0000
C5 C 0.5000 0.7500 0.0000
C6 C 0.7500 0.0000 0.5000